Entry 1:
Computed, not measured: a relaxed structure of LaAlZn at the GGA-PBEsol level of DFT.

abc: 10.5840 4.6002 7.5768
angles: 90.00 133.91 90.00
Last column: nearest neighbours and their distance in Å.
Space group C2/m (No. 12)
Symmetry-distinct sites (fractional):
La (0.2468, 0.0000, 0.1986) (multiplicity 4)  6 Zn 3.11-3.42, 6 Al 3.17-3.43
Al (0.0646, 0.0000, 0.4013) (multiplicity 4)  1 Al 2.63, 3 Zn 2.65-2.85
Zn (0.0623, 0.5000, 0.2242) (multiplicity 4)  3 Al 2.65-2.85, 1 Zn 2.66

Entry 2:
Computed, not measured: a relaxed structure of La2AlZn at the GGA-PBEsol level of DFT.

abc: 3.6884 5.1465 10.3691
angles: 90.00 90.00 90.00
Last column: nearest neighbours and their distance in Å.
Space group Imm2 (No. 44)
Symmetry-distinct sites (fractional):
La (0.0000, 0.0000, 0.0000) (multiplicity 2)  4 Zn 3.20, 4 La 3.41-3.48, 4 Al 3.44
La (0.0000, 0.5000, 0.2157) (multiplicity 2)  4 Al 3.23, 4 Zn 3.29-3.56, 4 La 3.41-3.48
Al (0.0000, 0.5000, 0.7795) (multiplicity 2)  2 Zn 2.58
Zn (0.0000, 0.0000, 0.4532) (multiplicity 2)  2 Al 2.58

Entry 3:
Computed, not measured: a relaxed structure of LaAlZn2 at the GGA-PBEsol level of DFT.

abc: 3.3284 3.3284 7.1191
angles: 90.00 90.00 90.00
Last column: nearest neighbours and their distance in Å.
Space group P4mm (No. 99)
Symmetry-distinct sites (fractional):
La (0.0000, 0.0000, 0.0000) (multiplicity 1)  5 Zn 3.20-3.47, 4 Al 3.24, 4 La 3.33
Al (0.5000, 0.5000, 0.6865) (multiplicity 1)  5 Zn 2.72-2.75
Zn (0.0000, 0.0000, 0.4873) (multiplicity 1)  4 Zn 2.69, 4 Al 2.75
Zn (0.5000, 0.5000, 0.3039) (multiplicity 1)  4 Zn 2.69, 1 Al 2.72

Entry 4:
Computed, not measured: a relaxed structure of LaAlZn2 at the GGA-PBEsol level of DFT.

abc: 3.2223 3.4499 7.0681
angles: 90.00 90.00 90.00
Last column: nearest neighbours and their distance in Å.
Space group Pmmm (No. 47)
Symmetry-distinct sites (fractional):
La (0.0000, 0.0000, 0.0000) (multiplicity 1)  8 Zn 3.19, 4 La 3.22-3.45, 2 Al 3.53
Al (0.0000, 0.0000, 0.5000) (multiplicity 1)  8 Zn 2.74
Zn (0.5000, 0.5000, 0.3037) (multiplicity 2)  4 Al 2.74, 1 Zn 2.77

Entry 5:
Computed, not measured: a relaxed structure of La2AlZn at the GGA-PBEsol level of DFT.

abc: 3.7293 4.9465 5.3741
angles: 90.00 90.00 90.00
Last column: nearest neighbours and their distance in Å.
Space group Pmm2 (No. 25)
Symmetry-distinct sites (fractional):
La (0.0000, 0.0000, 0.0000) (multiplicity 1)  4 Al 3.18-3.37, 4 Zn 3.20, 2 La 3.21
La (0.0000, 0.5000, 0.3817) (multiplicity 1)  4 Zn 3.13-3.41, 4 Al 3.19, 2 La 3.21
Al (0.5000, 0.0000, 0.5218) (multiplicity 1)  2 Zn 3.04, 8 La 3.18-3.37
Zn (0.5000, 0.5000, 0.8504) (multiplicity 1)  2 Al 3.04, 6 La 3.13-3.20

Entry 6:
Computed, not measured: a relaxed structure of LaAl2Zn2 at the GGA-PBEsol level of DFT.

abc: 4.3008 4.3008 10.5846
angles: 90.00 90.00 90.00
Last column: nearest neighbours and their distance in Å.
Space group I4/mmm (No. 139)
Symmetry-distinct sites (fractional):
La (0.0000, 0.0000, 0.0000) (multiplicity 2)  8 Al 3.30, 8 Zn 3.41
Al (0.0000, 0.0000, 0.3788) (multiplicity 4)  4 Zn 2.55, 1 Al 2.57
Zn (0.0000, 0.5000, 0.2500) (multiplicity 4)  4 Al 2.55

Number 1: formation energy from the elements -1.3 eV/f.u.. Number 2: formation energy from the elements -1.3 eV/f.u.. Number 3: formation energy from the elements -0.6 eV/f.u.. Number 4: formation energy from the elements -0.7 eV/f.u.. Number 5: formation energy from the elements -1.2 eV/f.u.. Number 6: formation energy from the elements -2.0 eV/f.u..